{
  "formula": "Sm3NiI3",
  "functional": "GGA-PBE",
  "state": "optimized geometry",
  "space_group": "P2_1/m, No. 11",
  "e_tot_ev_per_fu": -31.3,
  "cell": [[9.203, 0.000, 0.000], [0.000, 4.115, 0.000], [-0.378, 0.000, 12.457]],
  "species": ["Sm", "Sm", "Sm", "Sm", "Sm", "Sm", "Ni", "Ni", "I", "I", "I", "I", "I", "I"],
  "frac_coords": [[0.092, 0.250, 0.387], [0.117, 0.250, 0.838], [0.305, 0.750, 0.620], [0.695, 0.250, 0.380], [0.883, 0.750, 0.162], [0.908, 0.750, 0.613], [0.110, 0.250, 0.621], [0.890, 0.750, 0.379], [0.141, 0.250, 0.114], [0.379, 0.750, 0.874], [0.389, 0.750, 0.368], [0.611, 0.250, 0.632], [0.621, 0.250, 0.126], [0.859, 0.750, 0.886]]
}

---

{
  "formula": "RbTa2ReRh",
  "functional": "GGA-PBE",
  "state": "optimized geometry",
  "space_group": "P4/mmm, No. 123",
  "formation_energy_ev_per_atom": 2.031,
  "e_tot_ev_per_fu": -34.3,
  "cell": [[4.847, 0.000, 0.000], [0.000, 4.847, 0.000], [0.000, 0.000, 5.647]],
  "species": ["Rb", "Ta", "Ta", "Re", "Rh"],
  "frac_coords": [[0.000, 0.000, 0.000], [0.000, 0.500, 0.500], [0.500, 0.000, 0.500], [0.000, 0.000, 0.500], [0.500, 0.500, 0.000]]
}

---

{
  "formula": "Al4TcRu",
  "functional": "GGA-PBE",
  "state": "optimized geometry",
  "space_group": "F-43m, No. 216",
  "formation_energy_ev_per_atom": 0.008,
  "e_tot_ev_per_fu": -34.6,
  "cell": [[0.000, 3.505, 3.505], [3.505, 0.000, 3.505], [3.505, 3.505, 0.000]],
  "species": ["Al", "Al", "Al", "Al", "Tc", "Ru"],
  "frac_coords": [[0.125, 0.125, 0.125], [0.125, 0.125, 0.625], [0.125, 0.625, 0.125], [0.625, 0.125, 0.125], [0.500, 0.500, 0.500], [0.750, 0.750, 0.750]]
}

---

{
  "formula": "Sm2HoRh",
  "functional": "GGA-PBE",
  "state": "optimized geometry",
  "space_group": "P4/mmm, No. 123",
  "formation_energy_ev_per_atom": -0.305,
  "e_tot_ev_per_fu": -22.6,
  "cell": [[3.571, 0.000, 0.000], [0.000, 3.571, 0.000], [0.000, 0.000, 8.648]],
  "species": ["Sm", "Sm", "Ho", "Rh"],
  "frac_coords": [[0.000, 0.000, 0.192], [0.000, 0.000, 0.808], [0.500, 0.500, 0.500], [0.500, 0.500, 0.000]]
}